(1)
ScHg3I, relaxed, DFT PBE; formation energy from raw total energies = 0.08 eV per atom; volume = 37.64 Å³/atom; crystal system = cubic
1.0
-5.5023 -1.4437 -0.6952
-0.0175 -2.4321 5.1892
-1.6023 4.9844 2.3307
I Hg Sc
1 3 1
Direct
0.5000 0.5000 0.5000
0.0000 0.5000 0.0000
0.5000 0.0000 0.0000
0.0000 0.0000 0.5000
0.0000 0.0000 0.0000

(2)
DyPPt5, relaxed, DFT PBE; volume = 16.65 Å³/atom; crystal system = tetragonal; calculated formation energy = -0.829 eV/atom
1.0
4.0463 0.0000 0.0000
0.0000 4.0463 0.0000
0.0000 0.0000 7.1205
Pt Dy P
5 1 1
Direct
0.5000 0.5000 0.5000
0.0000 0.5000 0.2009
0.0000 0.5000 0.7991
0.5000 0.0000 0.2009
0.5000 0.0000 0.7991
0.0000 0.0000 0.5000
0.5000 0.5000 0.0000

(3)
Zr2MnSi2Ru5, relaxed, DFT PBE; formation energy from raw total energies = -0.56 eV per atom; volume = 15.30 Å³/atom; crystal system = tetragonal
1.0
3.2521 0.0000 0.0000
0.0000 9.7012 0.0000
0.0000 0.0000 9.7012
Ru Zr Mn Si
10 4 2 4
Direct
0.5000 0.5000 0.0000
0.5000 0.2935 0.5682
0.5000 0.5682 0.7065
0.5000 0.2065 0.0682
0.5000 0.4318 0.2935
0.5000 0.0000 0.5000
0.5000 0.7935 0.9318
0.5000 0.9318 0.2065
0.5000 0.7065 0.4318
0.5000 0.0682 0.7935
0.0000 0.3267 0.8267
0.0000 0.8267 0.6733
0.0000 0.6733 0.1733
0.0000 0.1733 0.3267
0.0000 0.0000 0.0000
0.0000 0.5000 0.5000
0.0000 0.8727 0.3727
0.0000 0.1273 0.6273
0.0000 0.6273 0.8727
0.0000 0.3727 0.1273

(4)
HfTaGa2, relaxed, DFT PBE; volume = 17.58 Å³/atom; crystal system = tetragonal; calculated formation energy = -0.143 eV/atom
1.0
-0.1307 2.0858 2.7808
-3.3165 -0.9086 0.5256
1.7396 -4.3956 3.3787
Ga Hf Ta
2 1 1
Direct
0.0000 0.0000 0.2348
0.0000 0.0000 0.7652
0.5000 0.5000 0.5000
0.5000 0.5000 0.0000

It is found that the E_tot values, taken in the order of the records, are -1.68 -6.57 -8.91 -7.11 eV/atom.
It is found that the magnetization values, taken in the order of the records, are 0.0 0.0 6.4 0.0 μB/cell.